Entry 1:
VASP calculation (meta-GGA SCAN) on a crystal of Li4ZnPb relaxed with PBEsol.

Results
- D(E_F) (states/eV/atom) = 0.35
- spin magnetization (μB per cell) = 0.241
- energy relative to the elements (eV per atom) = -0.088
- space-group type = F-43m (216)

Cell lengths 5.292, 5.292, 5.292 Å; angles 60.00, 60.00, 60.00 degrees
Sites, in units of the cell vectors:
Li 0.125 0.125 0.125
Li 0.125 0.125 0.625
Li 0.125 0.625 0.125
Li 0.625 0.125 0.125
Zn 0.750 0.750 0.750
Pb 0.500 0.500 0.500



Entry 2:
VASP calculation (meta-GGA SCAN) on a crystal of LiZn2Pb relaxed with PBEsol.

Results
- D(E_F) (states/eV/atom) = 0.26
- spin magnetization (μB per cell) = 0.000
- energy relative to the elements (eV per atom) = -0.045
- space-group type = P2/m (10)

Cell lengths 3.233, 4.786, 4.960 Å; angles 90.00, 96.56, 90.00 degrees
Sites, in units of the cell vectors:
Li 0.000 0.000 0.000
Zn 0.296 0.500 0.206
Zn 0.704 0.500 0.794
Pb 0.500 0.000 0.500



Please write out number 1 again, unchanged.
VASP calculation (meta-GGA SCAN) on a crystal of Li4ZnPb relaxed with PBEsol.

Results
- D(E_F) (states/eV/atom) = 0.35
- spin magnetization (μB per cell) = 0.241
- energy relative to the elements (eV per atom) = -0.088
- space-group type = F-43m (216)

Cell lengths 5.292, 5.292, 5.292 Å; angles 60.00, 60.00, 60.00 degrees
Sites, in units of the cell vectors:
Li 0.125 0.125 0.125
Li 0.125 0.125 0.625
Li 0.125 0.625 0.125
Li 0.625 0.125 0.125
Zn 0.750 0.750 0.750
Pb 0.500 0.500 0.500